Compound: NiRh3
Source: the Alexandria database
Functional: meta-GGA SCAN
Structure: single point on PBEsol structure

a b c (Å): 2.6583 2.6583 8.4008
angles (deg): 90.00 90.00 120.00
Space group P-6m2 (No. 187)
Inequivalent atoms, fractional coordinates:
Ni: 0.0000 0.0000 0.0000 x1
Rh: 0.0000 0.0000 0.5000 x1
Rh: 0.6667 0.3333 0.2415 x2

Summary:
Formation energy (meV per atom): 77
VASP energy (eV/atom): -29.295

Compound: Te3PIr
Source: the Alexandria database
Functional: meta-GGA SCAN
Structure: single point on PBEsol structure

a b c (Å): 5.129 5.129 5.129
angles (deg): 90.00 90.00 90.00
Space group Pm-3m (No. 221)
Inequivalent atoms, fractional coordinates:
Te: 0.000 0.000 0.500 x3
P: 0.500 0.500 0.500 x1
Ir: 0.000 0.000 0.000 x1

Summary:
Formation energy without anion corrections (eV/atom): 0.889
VASP energy (eV/atom): -37.761

Compound: IrRh2Br
Source: the Alexandria database
Functional: meta-GGA SCAN
Structure: single point on PBEsol structure

a b c (Å): 2.724 4.842 9.261
angles (deg): 90.00 90.00 90.00
Space group Cmm2 (No. 35)
Inequivalent atoms, fractional coordinates:
Ir: 0.000 0.000 0.000 x2
Rh: 0.000 0.000 0.480 x2
Rh: 0.000 0.500 0.239 x2
Br: 0.000 0.500 0.726 x2

Summary:
Formation energy without anion corrections (eV/atom): 0.754
Energy above the lowest structure with this stoichiometry (eV/atom): 0.091
VASP energy (eV/atom): -38.771

Compound: Fe5Ir
Source: the Alexandria database
Functional: meta-GGA SCAN
Structure: single point on PBEsol structure

a b c (Å): 8.968 2.518 5.811
angles (deg): 90.00 103.83 90.00
Space group Cm (No. 8)
Inequivalent atoms, fractional coordinates:
Fe: 0.000 0.000 0.000 x2
Fe: 0.054 0.000 0.599 x2
Fe: 0.168 0.500 0.336 x2
Fe: 0.337 0.000 0.653 x2
Fe: 0.394 0.000 0.280 x2
Ir: 0.223 0.500 0.938 x2

Summary:
Energy above the lowest structure with this stoichiometry (eV/atom): 0.153
Formation energy (meV per atom): 274
VASP energy (eV/atom): -26.684

Compound: KRe2Tc
Source: the Alexandria database
Functional: meta-GGA SCAN
Structure: single point on PBEsol structure

a b c (Å): 2.669 3.858 8.086
angles (deg): 90.00 90.00 90.00
Space group Pmmm (No. 47)
Inequivalent atoms, fractional coordinates:
K: 0.000 0.000 0.000 x1
Re: 0.500 0.500 0.347 x2
Tc: 0.000 0.000 0.500 x1

Summary:
Energy above the lowest structure with this stoichiometry (eV/atom): 0.000
Formation energy (meV per atom): 879
VASP energy (eV/atom): -45.517

Compound: CsBTe2
Source: the Alexandria database
Functional: meta-GGA SCAN
Structure: single point on PBEsol structure

a b c (Å): 7.560 7.560 8.672
angles (deg): 90.00 90.00 90.00
Space group I-42d (No. 122)
Inequivalent atoms, fractional coordinates:
Cs: 0.000 0.000 0.000 x4
B: 0.000 0.000 0.500 x4
Te: 0.113 0.250 0.625 x8

Summary:
Formation energy without anion corrections (eV/atom): -0.233
VASP energy (eV/atom): -30.169

Compound: ZnCuSe2O6
Source: the Alexandria database
Functional: meta-GGA SCAN
Structure: single point on PBEsol structure

a b c (Å): 5.222 5.893 8.915
angles (deg): 90.00 123.95 90.00
Space group P2_1/c (No. 14)
Inequivalent atoms, fractional coordinates:
Zn: 0.000 0.000 0.000 x2
Cu: 0.500 0.000 0.500 x2
Se: 0.240 0.028 0.745 x4
O: 0.042 0.697 0.929 x4
O: 0.312 0.194 0.927 x4
O: 0.431 0.573 0.760 x4

Summary:
Formation energy without anion corrections (eV/atom): -1.001
VASP energy (eV/atom): -11.627

Compound: CsOsPb2
Source: the Alexandria database
Functional: meta-GGA SCAN
Structure: single point on PBEsol structure

a b c (Å): 7.420 7.420 7.420
angles (deg): 90.00 90.00 90.00
Space group Fm-3m (No. 225)
Inequivalent atoms, fractional coordinates:
Cs: 0.000 0.000 0.000 x4
Os: 0.000 0.000 0.500 x4
Pb: 0.250 0.250 0.250 x8

Summary:
Formation energy (meV per atom): 1177
VASP energy (eV/atom): -64.136

Compound: Li3V2P3O12
Source: the Alexandria database
Functional: meta-GGA SCAN
Structure: single point on PBEsol structure

a b c (Å): 14.693 8.661 8.410
angles (deg): 90.00 122.94 90.00
Space group C2/c (No. 15)
Inequivalent atoms, fractional coordinates:
Li: 0.000 0.141 0.250 x4
Li: 0.188 0.377 0.304 x8
V: 0.108 0.248 0.637 x8
P: 0.000 0.457 0.250 x4
P: 0.139 0.116 0.045 x8
O: 0.039 0.162 0.052 x8
O: 0.064 0.450 0.686 x8
O: 0.089 0.347 0.404 x8
O: 0.120 0.156 0.853 x8
O: 0.162 0.060 0.572 x8
O: 0.235 0.202 0.213 x8

Summary:
Formation energy without anion corrections (eV/atom): -2.603
Energy above the lowest structure with this stoichiometry (eV/atom): 0.013
VASP energy (eV/atom): -10.009

Compound: ScCu4Rh
Source: the Alexandria database
Functional: meta-GGA SCAN
Structure: single point on PBEsol structure

a b c (Å): 6.775 6.775 6.775
angles (deg): 90.00 90.00 90.00
Space group F-43m (No. 216)
Inequivalent atoms, fractional coordinates:
Sc: 0.000 0.000 0.000 x4
Cu: 0.124 0.124 0.376 x16
Rh: 0.250 0.250 0.750 x4

Summary:
Formation energy (meV per atom): -306
VASP energy (eV/atom): -18.441

Compound: KBeP2
Source: the Alexandria database
Functional: meta-GGA SCAN
Structure: single point on PBEsol structure

a b c (Å): 4.091 4.091 4.069
angles (deg): 90.00 90.00 90.00
Space group P4/mmm (No. 123)
Inequivalent atoms, fractional coordinates:
K: 0.000 0.000 0.000 x1
Be: 0.500 0.500 0.000 x1
P: 0.000 0.500 0.500 x2

Summary:
Formation energy (meV per atom): 768
VASP energy (eV/atom): -7.602

Compound: ZnCuAsSe2
Source: the Alexandria database
Functional: meta-GGA SCAN
Structure: single point on PBEsol structure

a b c (Å): 4.817 4.817 4.476
angles (deg): 90.00 90.00 90.00
Space group P4/mmm (No. 123)
Inequivalent atoms, fractional coordinates:
Zn: 0.000 0.000 0.000 x1
Cu: 0.500 0.500 0.500 x1
As: 0.500 0.500 0.000 x1
Se: 0.000 0.500 0.500 x2

Summary:
Formation energy without anion corrections (eV/atom): 0.618
VASP energy (eV/atom): -17.195